Pm3Nd7Sc: relaxed, PBE-GGA.

a b c (Å): 7.3867 9.9595 11.9365
angles (deg): 104.38 98.91 111.77
With the nearest neighbours (Å) after each atom.
Atoms (fractional coordinates):
Pm 0.0000 0.0000 0.0000  1 Sc 3.37, 2 Pm 3.40-3.44, 5 Nd 3.41-3.75
Pm 0.0625 0.2815 0.7092  8 Nd 3.38-3.78, 2 Pm 3.40-3.63, 2 Sc 3.68-3.70
Pm 0.2186 0.7374 0.4252  1 Sc 3.40, 9 Nd 3.60-3.71, 1 Pm 3.63
Pm 0.3916 0.5035 0.5619  8 Nd 3.54-3.76, 1 Sc 3.60, 2 Pm 3.63
Pm 0.7393 0.8917 0.1973  8 Nd 3.39-3.66, 1 Pm 3.40, 2 Sc 3.68-3.71
Pm 0.8675 0.2804 0.9495  1 Sc 3.36, 7 Nd 3.40-3.75, 2 Pm 3.40-3.44
Nd 0.0310 0.6359 0.8934  3 Pm 3.56-3.78, 2 Sc 3.59-3.74, 6 Nd 3.64-3.75
Nd 0.1399 0.9310 0.7085  7 Nd 3.53-3.79, 3 Pm 3.70-3.75, 1 Sc 3.70
Nd 0.1561 0.0887 0.4507  2 Sc 3.43-3.49, 4 Pm 3.49-3.64, 6 Nd 3.62-3.79
Nd 0.3083 0.5652 0.1473  1 Sc 3.39, 3 Pm 3.42-3.62, 6 Nd 3.44-3.78
Nd 0.3757 0.2831 0.9488  1 Sc 3.34, 3 Pm 3.38-3.64, 5 Nd 3.40-3.56
Nd 0.4599 0.2925 0.2783  1 Sc 3.53, 10 Nd 3.68-3.92, 2 Pm 3.73-3.93
Nd 0.4854 0.9978 0.0008  1 Sc 3.36, 3 Pm 3.39-3.59, 4 Nd 3.40-3.74
Nd 0.5347 0.6334 0.8848  7 Nd 3.56-3.97, 4 Pm 3.59-3.72, 1 Sc 3.70
Nd 0.6328 0.9320 0.7091  5 Pm 3.51-3.80, 5 Nd 3.64-3.78, 1 Sc 3.70
Nd 0.6444 0.0864 0.4503  2 Sc 3.43-3.50, 3 Pm 3.48-3.63, 7 Nd 3.62-3.78
Nd 0.7173 0.7327 0.4273  4 Pm 3.49-3.70, 8 Nd 3.57-3.86
Nd 0.8189 0.5658 0.1490  1 Sc 3.37, 3 Pm 3.40-3.60, 5 Nd 3.43-3.77
Nd 0.8837 0.5041 0.5659  6 Nd 3.57-3.77, 1 Sc 3.59, 4 Pm 3.60-3.76
Nd 0.9657 0.3018 0.2820  4 Pm 3.59-3.86, 7 Nd 3.69-3.78
Sc 0.2370 0.8896 0.1992  7 Nd 3.36-3.59, 4 Pm 3.37-3.71
Sc 0.5612 0.2811 0.7107  7 Nd 3.34-3.70, 4 Pm 3.36-3.70

SG: P1
polymorph energy (0 for the lowest one): 0.000 eV/atom
total magnetization: 0.00 μB/f.u.



Pm12Nd6Sc: relaxed, PBE-GGA.

a b c (Å): 8.7007 8.7007 8.7007
angles (deg): 89.42 89.42 89.42
With the nearest neighbours (Å) after each atom.
Atoms (fractional coordinates):
Pm 0.0185 0.1884 0.3579  4 Pm 3.50-3.70, 4 Nd 3.53-3.77, 1 Sc 3.54
Pm 0.1884 0.3579 0.0185  4 Pm 3.50-3.70, 4 Nd 3.53-3.77, 1 Sc 3.54
Pm 0.2191 0.4657 0.5622  6 Pm 3.36-3.75, 3 Nd 3.45-3.49
Pm 0.3579 0.0185 0.1884  4 Pm 3.50-3.70, 4 Nd 3.53-3.77, 1 Sc 3.54
Pm 0.4378 0.7809 0.5343  6 Pm 3.36-3.75, 3 Nd 3.45-3.49
Pm 0.4657 0.5622 0.2191  6 Pm 3.36-3.75, 3 Nd 3.45-3.49
Pm 0.5343 0.4378 0.7809  6 Pm 3.36-3.75, 3 Nd 3.45-3.49
Pm 0.5622 0.2191 0.4657  6 Pm 3.36-3.75, 3 Nd 3.45-3.49
Pm 0.6421 0.9815 0.8116  4 Pm 3.50-3.70, 4 Nd 3.53-3.77, 1 Sc 3.54
Pm 0.7809 0.5343 0.4378  6 Pm 3.36-3.75, 3 Nd 3.45-3.49
Pm 0.8116 0.6421 0.9815  4 Pm 3.50-3.70, 4 Nd 3.53-3.77, 1 Sc 3.54
Pm 0.9815 0.8116 0.6421  4 Pm 3.50-3.70, 4 Nd 3.53-3.77, 1 Sc 3.54
Nd 0.0945 0.7028 0.2616  7 Pm 3.45-3.77, 1 Sc 3.52, 2 Nd 3.56
Nd 0.2616 0.0945 0.7028  7 Pm 3.45-3.77, 1 Sc 3.52, 2 Nd 3.56
Nd 0.2972 0.7384 0.9055  7 Pm 3.45-3.77, 1 Sc 3.52, 2 Nd 3.56
Nd 0.7028 0.2616 0.0945  7 Pm 3.45-3.77, 1 Sc 3.52, 2 Nd 3.56
Nd 0.7384 0.9055 0.2972  7 Pm 3.45-3.77, 1 Sc 3.52, 2 Nd 3.56
Nd 0.9055 0.2972 0.7384  7 Pm 3.45-3.77, 1 Sc 3.52, 2 Nd 3.56
Sc 0.0000 0.0000 0.0000  6 Nd 3.52, 6 Pm 3.54

SG: R-3
total magnetization: 0.00 μB/f.u.
E_tot: -4.707 eV per atom



Pm4Nd3ScSe8: relaxed, PBE-GGA.

a b c (Å): 8.3505 8.3505 8.3505
angles (deg): 60.08 60.08 60.08
With the nearest neighbours (Å) after each atom.
Atoms (fractional coordinates):
Pm 0.0000 0.0000 0.0000  6 Se 3.07
Pm 0.0000 0.5000 0.5000  6 Se 2.94
Pm 0.5000 0.0000 0.5000  6 Se 2.94
Pm 0.5000 0.5000 0.0000  6 Se 2.94
Nd 0.0000 0.0000 0.5000  6 Se 2.97
Nd 0.0000 0.5000 0.0000  6 Se 2.97
Nd 0.5000 0.0000 0.0000  6 Se 2.97
Sc 0.5000 0.5000 0.5000  6 Se 2.84
Se 0.2510 0.2510 0.2510  3 Pm 2.94, 3 Nd 2.97
Se 0.2594 0.2594 0.7386  1 Sc 2.84, 3 Pm 2.94-3.07, 2 Nd 2.97
Se 0.2594 0.7386 0.2594  1 Sc 2.84, 3 Pm 2.94-3.07, 2 Nd 2.97
Se 0.2614 0.7406 0.7406  1 Sc 2.84, 3 Pm 2.94-3.07, 2 Nd 2.97
Se 0.7386 0.2594 0.2594  1 Sc 2.84, 3 Pm 2.94-3.07, 2 Nd 2.97
Se 0.7406 0.2614 0.7406  1 Sc 2.84, 3 Pm 2.94-3.07, 2 Nd 2.97
Se 0.7406 0.7406 0.2614  1 Sc 2.84, 3 Pm 2.94-3.07, 2 Nd 2.97
Se 0.7490 0.7490 0.7490  3 Pm 2.94, 3 Nd 2.97

SG: R-3m
total magnetization: 0.00 μB/f.u.
formation energy from raw total energies: -1.784 eV/atom



PmNd3Sc2Se6: relaxed, PBE-GGA.

a b c (Å): 7.0842 7.0842 7.1937
angles (deg): 99.45 99.45 120.18
With the nearest neighbours (Å) after each atom.
Atoms (fractional coordinates):
Pm 0.0000 0.0000 0.0000  6 Se 2.91-2.94
Nd 0.1580 0.8420 0.5000  6 Se 2.96-3.03
Nd 0.5000 0.5000 0.5000  6 Se 2.92-3.03
Nd 0.8420 0.1580 0.5000  6 Se 2.96-3.03
Sc 0.3346 0.6654 0.0000  6 Se 2.75-2.80
Sc 0.6654 0.3346 0.0000  6 Se 2.75-2.80
Se 0.0766 0.4270 0.2319  2 Sc 2.79-2.80, 1 Pm 2.94, 3 Nd 2.96-3.03
Se 0.2749 0.2749 0.7755  2 Sc 2.75, 1 Pm 2.91, 3 Nd 2.92-2.99
Se 0.4270 0.0766 0.2319  2 Sc 2.79-2.80, 1 Pm 2.94, 3 Nd 2.96-3.03
Se 0.5730 0.9234 0.7681  2 Sc 2.79-2.80, 1 Pm 2.94, 3 Nd 2.96-3.03
Se 0.7251 0.7251 0.2245  2 Sc 2.75, 1 Pm 2.91, 3 Nd 2.92-2.99
Se 0.9234 0.5730 0.7681  2 Sc 2.79-2.80, 1 Pm 2.94, 3 Nd 2.96-3.03

SG: C2/m
total magnetization: 0.00 μB/f.u.
formation energy from raw total energies: -1.739 eV/atom



PmNd4ScSe8: relaxed, PBE-GGA.

a b c (Å): 8.5724 8.5724 8.5724
angles (deg): 60.05 60.05 60.05
With the nearest neighbours (Å) after each atom.
Atoms (fractional coordinates):
Pm 0.0000 0.0000 0.0000  6 Se 2.97-2.98
Nd 0.0000 0.0000 0.5185  6 Se 2.99
Nd 0.0000 0.5185 0.0000  6 Se 2.99
Nd 0.3798 0.3798 0.3798  4 Se 2.82
Nd 0.5185 0.0000 0.0000  6 Se 2.99
Sc 0.6296 0.6296 0.6296  4 Se 2.60-2.61
Se 0.2442 0.2442 0.7830  3 Nd 2.82-2.99, 1 Pm 2.97
Se 0.2442 0.7830 0.2442  3 Nd 2.82-2.99, 1 Pm 2.97
Se 0.2456 0.2456 0.2456  4 Nd 2.82-2.99
Se 0.2574 0.7547 0.7547  1 Sc 2.61
Se 0.7534 0.7534 0.7534  1 Sc 2.60
Se 0.7547 0.2574 0.7547  1 Sc 2.61
Se 0.7547 0.7547 0.2574  1 Sc 2.61
Se 0.7830 0.2442 0.2442  3 Nd 2.82-2.99, 1 Pm 2.97

SG: R3m
total magnetization: 0.85 μB/f.u.
formation energy from raw total energies: -1.713 eV/atom



Pm3NdSc2Se6: relaxed, PBE-GGA.

a b c (Å): 7.0867 7.0867 7.1371
angles (deg): 99.52 99.52 120.17
With the nearest neighbours (Å) after each atom.
Atoms (fractional coordinates):
Pm 0.0000 0.0000 0.0000  6 Se 2.89-3.01
Pm 0.3431 0.6569 0.0000  6 Se 2.93-3.01
Pm 0.6569 0.3431 0.0000  6 Se 2.93-3.01
Nd 0.5000 0.5000 0.5000  6 Se 2.92-2.96
Sc 0.1650 0.8350 0.5000  6 Se 2.75-2.80
Sc 0.8350 0.1650 0.5000  6 Se 2.75-2.80
Se 0.0699 0.4221 0.2639  2 Sc 2.80, 3 Pm 2.93-3.01, 1 Nd 2.96
Se 0.2246 0.2246 0.7277  2 Sc 2.75, 3 Pm 2.89-2.96, 1 Nd 2.92
Se 0.4221 0.0699 0.2639  2 Sc 2.80, 3 Pm 2.93-3.01, 1 Nd 2.96
Se 0.5779 0.9301 0.7361  2 Sc 2.80, 3 Pm 2.93-3.01, 1 Nd 2.96
Se 0.7754 0.7754 0.2723  2 Sc 2.75, 3 Pm 2.89-2.96, 1 Nd 2.92
Se 0.9301 0.5779 0.7361  2 Sc 2.80, 3 Pm 2.93-3.01, 1 Nd 2.96

SG: C2/m
total magnetization: 0.00 μB/f.u.
formation energy from raw total energies: -1.736 eV/atom



Pm2Nd3ScSe6: relaxed, PBE-GGA.

a b c (Å): 9.3060 9.3060 8.3858
angles (deg): 103.14 103.14 25.73
With the nearest neighbours (Å) after each atom.
Atoms (fractional coordinates):
Pm 0.1670 0.1670 0.3341  6 Se 2.93-2.98
Pm 0.8330 0.8330 0.6659  6 Se 2.93-2.98
Nd 0.1716 0.1716 0.8361  6 Se 2.96-3.03
Nd 0.5000 0.5000 0.5000  6 Se 2.94-3.06
Nd 0.8284 0.8284 0.1639  6 Se 2.96-3.03
Sc 0.5000 0.5000 0.0000  6 Se 2.77-2.84
Se 0.0016 0.0016 0.7698  2 Sc 2.84, 1 Pm 2.98, 3 Nd 3.01-3.06
Se 0.3332 0.3332 0.4180  3 Pm 2.93-2.94, 3 Nd 2.94-2.96
Se 0.3431 0.3431 0.9194  1 Sc 2.77, 2 Pm 2.94, 3 Nd 2.97-3.03
Se 0.6569 0.6569 0.0806  1 Sc 2.77, 2 Pm 2.94, 3 Nd 2.97-3.03
Se 0.6668 0.6668 0.5820  3 Pm 2.93-2.94, 3 Nd 2.94-2.96
Se 0.9984 0.9984 0.2302  2 Sc 2.84, 1 Pm 2.98, 3 Nd 3.01-3.06

SG: C2/m
total magnetization: 0.00 μB/f.u.
formation energy from raw total energies: -1.780 eV/atom



Pm3Nd2Sm6Sc: relaxed, PBE-GGA.

a b c (Å): 6.2559 6.2559 12.0010
angles (deg): 95.00 95.00 119.98
With the nearest neighbours (Å) after each atom.
Atoms (fractional coordinates):
Pm 0.0000 0.0000 0.0000  6 Pm 3.61, 6 Sm 3.64-3.65
Pm 0.3336 0.6664 0.0000  6 Pm 3.61-3.62, 6 Sm 3.63-3.66
Pm 0.6664 0.3336 0.0000  6 Pm 3.61-3.62, 6 Sm 3.63-3.66
Nd 0.1666 0.8334 0.5000  6 Sm 3.60, 3 Nd 3.61, 3 Sc 3.61
Nd 0.8334 0.1666 0.5000  6 Sm 3.60, 3 Nd 3.61, 3 Sc 3.61
Sm 0.0887 0.4181 0.2527  6 Sm 3.57-3.63, 1 Sc 3.58, 2 Nd 3.60, 3 Pm 3.63-3.66
Sm 0.2523 0.2523 0.7479  6 Sm 3.57-3.63, 1 Sc 3.59, 2 Nd 3.60, 3 Pm 3.63-3.65
Sm 0.4181 0.0887 0.2527  6 Sm 3.57-3.63, 1 Sc 3.58, 2 Nd 3.60, 3 Pm 3.63-3.66
Sm 0.5819 0.9113 0.7473  6 Sm 3.57-3.63, 1 Sc 3.58, 2 Nd 3.60, 3 Pm 3.63-3.66
Sm 0.7477 0.7477 0.2521  6 Sm 3.57-3.63, 1 Sc 3.59, 2 Nd 3.60, 3 Pm 3.63-3.65
Sm 0.9113 0.5819 0.7473  6 Sm 3.57-3.63, 1 Sc 3.58, 2 Nd 3.60, 3 Pm 3.63-3.66
Sc 0.5000 0.5000 0.5000  6 Sm 3.58-3.59, 6 Nd 3.61

SG: C2/m
total magnetization: 0.00 μB/f.u.
E_tot: -4.844 eV per atom



PmNd2Sm5Sc: relaxed, PBE-GGA.

a b c (Å): 10.1034 10.1034 10.1034
angles (deg): 129.19 129.19 74.71
With the nearest neighbours (Å) after each atom.
Atoms (fractional coordinates):
Pm 0.2500 0.2500 0.0000  8 Sm 3.55
Pm 0.7500 0.7500 0.0000  8 Sm 3.55
Nd 0.1207 0.6207 0.7413  1 Nd 2.96, 2 Sm 3.10
Nd 0.3793 0.1207 0.5000  1 Nd 2.96, 2 Sm 3.10
Nd 0.6207 0.8793 0.5000  1 Nd 2.96, 2 Sm 3.10
Nd 0.8793 0.3793 0.2587  1 Nd 2.96, 2 Sm 3.10
Sm 0.0000 0.0000 0.0000  4 Nd 3.45, 8 Sm 3.86
Sm 0.0668 0.1482 0.5000  1 Sc 3.09, 1 Nd 3.10
Sm 0.1482 0.6482 0.0814  1 Sc 3.09, 1 Nd 3.10
Sm 0.3518 0.4332 0.5000  1 Sc 3.09, 1 Nd 3.10
Sm 0.4332 0.9332 0.0814  1 Sc 3.09, 1 Nd 3.10
Sm 0.5000 0.5000 0.0000  4 Nd 3.45, 8 Sm 3.86
Sm 0.5668 0.0668 0.9186  1 Sc 3.09, 1 Nd 3.10
Sm 0.6482 0.5668 0.5000  1 Sc 3.09, 1 Nd 3.10
Sm 0.8518 0.3518 0.9186  1 Sc 3.09, 1 Nd 3.10
Sm 0.9332 0.8518 0.5000  1 Sc 3.09, 1 Nd 3.10
Sc 0.2500 0.7500 0.5000  4 Sm 3.09
Sc 0.7500 0.2500 0.5000  4 Sm 3.09

SG: I4/mcm
total magnetization: 0.00 μB/f.u.
E_tot: -4.633 eV per atom



Pm2NdSm4Sc: relaxed, PBE-GGA.

a b c (Å): 5.9539 5.9525 7.4178
angles (deg): 90.00 90.04 90.00
With the nearest neighbours (Å) after each atom.
Atoms (fractional coordinates):
Pm 0.0000 0.0000 0.0000  8 Sm 3.46, 2 Nd 3.71
Pm 0.5000 0.5000 0.5000  8 Sm 3.55, 2 Sc 3.71
Nd 0.0000 0.0000 0.5000  8 Sm 3.55-3.56, 2 Pm 3.71
Sm 0.9998 0.5000 0.2384  2 Sc 3.46, 4 Pm 3.46-3.55, 1 Sm 3.54, 2 Nd 3.55
Sm 0.0002 0.5000 0.7616  2 Sc 3.46, 4 Pm 3.46-3.55, 1 Sm 3.54, 2 Nd 3.55
Sm 0.4993 0.0000 0.7621  4 Pm 3.46-3.55, 2 Sc 3.46, 1 Sm 3.53, 2 Nd 3.55-3.56
Sm 0.5007 0.0000 0.2379  4 Pm 3.46-3.55, 2 Sc 3.46, 1 Sm 3.53, 2 Nd 3.55-3.56
Sc 0.5000 0.5000 0.0000  8 Sm 3.46, 2 Pm 3.71

SG: P2/m
total magnetization: 0.00 μB/f.u.
E_tot: -4.808 eV per atom



Pm2NdSmSc: relaxed, PBE-GGA.

a b c (Å): 8.6295 8.6295 6.5098
angles (deg): 90.00 90.00 135.67
With the nearest neighbours (Å) after each atom.
Atoms (fractional coordinates):
Pm 0.2485 0.2485 0.0000  4 Pm 3.24-3.28, 2 Sc 3.34, 2 Nd 3.49
Pm 0.2485 0.2485 0.5000  4 Pm 3.24-3.28, 2 Sc 3.34, 2 Nd 3.49
Pm 0.7515 0.7515 0.0000  4 Pm 3.24-3.28, 2 Sc 3.34, 2 Nd 3.49
Pm 0.7515 0.7515 0.5000  4 Pm 3.24-3.28, 2 Sc 3.34, 2 Nd 3.49
Nd 0.3366 0.6634 0.7500  1 Sc 2.95
Nd 0.6634 0.3366 0.2500  1 Sc 2.95
Sm 0.2482 0.7518 0.2500  4 Nd 3.53-3.55, 4 Sc 3.60-3.63
Sm 0.7518 0.2482 0.7500  4 Nd 3.53-3.55, 4 Sc 3.60-3.63
Sc 0.1521 0.8479 0.7500  1 Nd 2.95
Sc 0.8479 0.1521 0.2500  1 Nd 2.95

SG: Cmcm
total magnetization: 0.00 μB/f.u.
E_tot: -4.721 eV per atom



PmNd3SmSc: relaxed, PBE-GGA.

a b c (Å): 8.0582 8.0582 10.1844
angles (deg): 90.00 90.00 143.37
With the nearest neighbours (Å) after each atom.
Atoms (fractional coordinates):
Pm 0.0042 0.9958 0.7500  2 Sc 3.55, 6 Nd 3.55-3.67, 4 Sm 3.59
Pm 0.9958 0.0042 0.2500  2 Sc 3.55, 6 Nd 3.55-3.67, 4 Sm 3.59
Nd 0.1672 0.8328 0.5017  2 Pm 3.55-3.67, 5 Nd 3.56-3.60, 3 Sc 3.58-3.61, 2 Sm 3.60
Nd 0.1672 0.8328 0.9983  2 Pm 3.55-3.67, 5 Nd 3.56-3.60, 3 Sc 3.58-3.61, 2 Sm 3.60
Nd 0.3307 0.6693 0.7500  6 Nd 3.56-3.60, 2 Sc 3.57, 2 Sm 3.63, 2 Pm 3.67
Nd 0.6693 0.3307 0.2500  6 Nd 3.56-3.60, 2 Sc 3.57, 2 Sm 3.63, 2 Pm 3.67
Nd 0.8328 0.1672 0.0017  2 Pm 3.55-3.67, 5 Nd 3.56-3.60, 3 Sc 3.58-3.61, 2 Sm 3.60
Nd 0.8328 0.1672 0.4983  2 Pm 3.55-3.67, 5 Nd 3.56-3.60, 3 Sc 3.58-3.61, 2 Sm 3.60
Sm 0.5000 0.5000 0.0000  4 Pm 3.59, 6 Nd 3.60-3.63, 2 Sc 3.60
Sm 0.5000 0.5000 0.5000  4 Pm 3.59, 6 Nd 3.60-3.63, 2 Sc 3.60
Sc 0.3336 0.6664 0.2500  2 Pm 3.55, 8 Nd 3.57-3.61, 2 Sm 3.60
Sc 0.6664 0.3336 0.7500  2 Pm 3.55, 8 Nd 3.57-3.61, 2 Sm 3.60

SG: Cmcm
total magnetization: 0.00 μB/f.u.
E_tot: -4.980 eV per atom